! LiNdZnRh | the Alexandria database | GGA-PBE | relaxed; values from VASP
&SYSTEM
  ibrav = 0, nat = 4, ntyp = 4
/
ATOMIC_SPECIES
Nd 144.24 Nd.upf
Zn 65.41 Zn.upf
Rh 102.91 Rh.upf
Li 6.94 Li.upf
CELL_PARAMETERS angstrom
4.727 0.000 0.000
2.364 4.094 0.000
2.364 1.365 3.860
ATOMIC_POSITIONS angstrom
Nd 7.091 4.094 2.895
Zn 2.364 1.365 0.965
Rh 4.727 2.729 1.930
Li 0.000 0.000 0.000
! * E_form: -354.3 meV per atom
! * space group: F-43m, No. 216
! * crystal system: cubic

! LiNdZrRh | the Alexandria database | GGA-PBE | relaxed; values from VASP
&SYSTEM
  ibrav = 0, nat = 4, ntyp = 4
/
ATOMIC_SPECIES
Rh 102.91 Rh.upf
Zr 91.22 Zr.upf
Li 6.94 Li.upf
Nd 144.24 Nd.upf
CELL_PARAMETERS angstrom
-2.884 0.098 3.936
1.244 -2.505 4.000
1.434 2.372 4.017
ATOMIC_POSITIONS angstrom
Rh -0.154 -0.026 8.965
Zr -0.103 -0.017 5.977
Li -0.051 -0.009 2.988
Nd 0.000 0.000 0.000
! * E_form: -231.4 meV per atom
! * space group: F-43m, No. 216
! * crystal system: cubic

! LiNd3Ru2 | the Alexandria database | GGA-PBE | relaxed; values from VASP
&SYSTEM
  ibrav = 0, nat = 6, ntyp = 3
/
ATOMIC_SPECIES
Ru 101.07 Ru.upf
Li 6.94 Li.upf
Nd 144.24 Nd.upf
CELL_PARAMETERS angstrom
3.498 0.000 0.000
0.000 3.498 0.000
0.000 0.000 11.910
ATOMIC_POSITIONS angstrom
Ru 1.749 1.749 1.873
Ru 1.749 1.749 10.037
Li 1.749 1.749 5.955
Nd 0.000 0.000 0.000
Nd 0.000 0.000 8.391
Nd 0.000 0.000 3.519
! * E_form: -120.0 meV per atom
! * space group: P4/mmm, No. 123
! * crystal system: tetragonal

! LiNd4Ru3 | the Alexandria database | GGA-PBE | relaxed; values from VASP
&SYSTEM
  ibrav = 0, nat = 8, ntyp = 3
/
ATOMIC_SPECIES
Nd 144.24 Nd.upf
Ru 101.07 Ru.upf
Li 6.94 Li.upf
CELL_PARAMETERS angstrom
-2.347 -0.809 4.317
-3.035 -3.239 -2.257
7.310 -3.355 0.473
ATOMIC_POSITIONS angstrom
Nd -1.491 -3.420 1.420
Nd 3.419 -3.982 1.112
Nd 0.729 -6.006 2.142
Nd 1.200 -1.396 0.391
Ru -1.517 -1.619 -1.128
Ru 1.107 -3.059 2.900
Ru 0.822 -4.343 -0.367
Li -1.173 -0.405 2.158
! * E_form: -118.7 meV per atom
! * space group: I4/mmm, No. 139
! * crystal system: tetragonal

! LiNdSnRu | the Alexandria database | GGA-PBE | relaxed; values from VASP
&SYSTEM
  ibrav = 0, nat = 4, ntyp = 4
/
ATOMIC_SPECIES
Ru 101.07 Ru.upf
Nd 144.24 Nd.upf
Sn 118.71 Sn.upf
Li 6.94 Li.upf
CELL_PARAMETERS angstrom
-1.200 4.374 -1.623
-4.640 1.246 -0.359
-1.858 3.263 3.018
ATOMIC_POSITIONS angstrom
Ru -1.924 2.221 0.259
Nd 0.000 0.000 0.000
Sn -3.849 4.442 0.518
Li -5.773 6.663 0.777
! * E_form: -333.5 meV per atom
! * space group: F-43m, No. 216
! * crystal system: cubic

! LiNdYRu | the Alexandria database | GGA-PBE | relaxed; values from VASP
&SYSTEM
  ibrav = 0, nat = 4, ntyp = 4
/
ATOMIC_SPECIES
Nd 144.24 Nd.upf
Li 6.94 Li.upf
Ru 101.07 Ru.upf
Y 88.91 Y.upf
CELL_PARAMETERS angstrom
-3.689 -2.234 -2.533
-0.725 -4.927 0.463
-4.019 -1.719 2.431
ATOMIC_POSITIONS angstrom
Nd 0.000 0.000 0.000
Li -2.108 -2.220 0.090
Ru -6.324 -6.659 0.271
Y -4.216 -4.440 0.180
! * E_form: -197.4 meV per atom
! * space group: F-43m, No. 216
! * crystal system: cubic